1.
Hf2MoHRh after structural relaxation, computed with PBE-GGA.

Structure (POSCAR):
```
Hf2MoHRh
1.0
4.6379 0.0000 0.0000
0.0000 4.6379 0.0000
0.0000 0.0000 3.4457
Hf Mo H Rh
2 1 1 1
direct
0.0000 0.5000 0.0000
0.5000 0.0000 0.0000
0.0000 0.0000 0.5000
0.5000 0.5000 0.0000
0.5000 0.5000 0.5000
```

Summary:
As for the total energy: -0.639 Ry per atom. The energy relative to the lowest polymorph listed for this composition comes out at 50 meV per atom. Its magnetization is 0.00 μB per cell. The value obtained for the calculated volume is 14.8 Å³/atom.

2.
SmBiPd4 after structural relaxation, computed with PBE-GGA.

Structure (POSCAR):
```
SmBiPd4
1.0
5.4103 0.0000 0.0000
0.0000 5.4103 0.0000
0.0000 0.0000 9.3599
Sm Bi Pd
2 2 8
direct
0.2500 0.7500 0.2500
0.7500 0.2500 0.7500
0.2500 0.7500 0.7500
0.7500 0.2500 0.2500
0.0135 0.2500 0.0060
0.2500 0.0135 0.5060
0.2500 0.4865 0.5060
0.4865 0.2500 0.0060
0.5135 0.7500 0.9940
0.7500 0.5135 0.4940
0.7500 0.9865 0.4940
0.9865 0.7500 0.9940
```

Summary:
As for the total energy: -0.375 Ry per atom. The energy relative to the lowest polymorph listed for this composition comes out at 329 meV per atom. Its magnetization is 0.00 μB per cell. The value obtained for the calculated volume is 22.8 Å³/atom.